Entry from Alexandria: an optimized crystal structure of Tm3ZnGa3 (GGA-PBE).

The structure in CIF format:
```
data_Tm3ZnGa3
_cell_length_a 8.5702
_cell_length_b 8.5702
_cell_length_c 4.7544
_cell_angle_alpha 90.00
_cell_angle_beta 90.00
_cell_angle_gamma 120.00
_symmetry_space_group_name_H-M 'P 63/m'
_symmetry_Int_Tables_number 176
_symmetry_space_group_name_Hall '-P 6c'
loop_
_atom_site_label
_atom_site_type_symbol
_atom_site_fract_x
_atom_site_fract_y
_atom_site_fract_z
Tm1 Tm 0.0995 0.4416 0.2500
Zn1 Zn 0.3333 0.6667 0.7500
Ga1 Ga 0.0428 0.2129 0.7500
```

Values from the calculation:
Energy relative to the elements   -0.364 eV/atom
Polymorph energy (0 for the lowest one)   0.2227 eV/atom
Calculated total energy   -52.6 eV for the cell shown

***

Entry from Alexandria: an optimized crystal structure of Tm2Zn5Ga (GGA-PBE).

The structure in CIF format:
```
data_Tm2Zn5Ga
_cell_length_a 4.259
_cell_length_b 15.748
_cell_length_c 8.815
_cell_angle_alpha 90.00
_cell_angle_beta 90.00
_cell_angle_gamma 90.00
_symmetry_space_group_name_H-M 'C m c m'
_symmetry_Int_Tables_number 63
_symmetry_space_group_name_Hall '-C 2c 2'
loop_
_atom_site_label
_atom_site_type_symbol
_atom_site_fract_x
_atom_site_fract_y
_atom_site_fract_z
Tm1 Tm 0.000 0.000 0.000
Tm2 Tm 0.000 0.197 0.250
Zn1 Zn 0.000 0.189 0.606
Zn2 Zn 0.000 0.352 0.524
Zn3 Zn 0.000 0.396 0.250
Ga1 Ga 0.000 0.448 0.750
```

Values from the calculation:
Energy relative to the elements   -0.372 eV/atom
Calculated total energy   -85.3 eV for the cell shown

***

Question: What is the energy relative to the elements in the second record?
Answer: -0.372 eV/atom

***

Question: Which value of calculated total energy does entry 2 give?
Answer: -85.3 eV for the cell shown